No. 1
! Mg12Cu3Bi5, relaxed, DFT PBE-GGA; values from VASP
! size of the total moment	0.0	μB/cell
! electronic total energy	-2.395	eV/atom
! space group	Ia-3d
! ΔH_f (0 K)	0.147	eV per atom
&SYSTEM
  ibrav = 0, nat = 80, ntyp = 3
/
ATOMIC_SPECIES
Mg 24.30 Mg.upf
Cu 63.55 Cu.upf
Bi 208.98 Bi.upf
ATOMIC_POSITIONS crystal
Mg 0.064 0.635 0.398
Mg 0.064 0.928 0.666
Mg 0.072 0.238 0.135
Mg 0.072 0.334 0.936
Mg 0.102 0.738 0.666
Mg 0.102 0.865 0.436
Mg 0.135 0.072 0.238
Mg 0.135 0.564 0.898
Mg 0.166 0.238 0.602
Mg 0.166 0.428 0.564
Mg 0.238 0.135 0.072
Mg 0.238 0.602 0.166
Mg 0.262 0.334 0.898
Mg 0.262 0.428 0.365
Mg 0.334 0.898 0.262
Mg 0.334 0.936 0.072
Mg 0.365 0.262 0.428
Mg 0.365 0.602 0.936
Mg 0.398 0.064 0.635
Mg 0.398 0.834 0.762
Mg 0.428 0.365 0.262
Mg 0.428 0.564 0.166
Mg 0.436 0.102 0.865
Mg 0.436 0.834 0.572
Mg 0.564 0.166 0.428
Mg 0.564 0.898 0.135
Mg 0.572 0.436 0.834
Mg 0.572 0.635 0.738
Mg 0.602 0.166 0.238
Mg 0.602 0.936 0.365
Mg 0.635 0.398 0.064
Mg 0.635 0.738 0.572
Mg 0.666 0.064 0.928
Mg 0.666 0.102 0.738
Mg 0.738 0.572 0.635
Mg 0.738 0.666 0.102
Mg 0.762 0.398 0.834
Mg 0.762 0.865 0.928
Mg 0.834 0.572 0.436
Mg 0.834 0.762 0.398
Mg 0.865 0.436 0.102
Mg 0.865 0.928 0.762
Mg 0.898 0.135 0.564
Mg 0.898 0.262 0.334
Mg 0.928 0.666 0.064
Mg 0.928 0.762 0.865
Mg 0.936 0.072 0.334
Mg 0.936 0.365 0.602
Cu 0.125 0.250 0.375
Cu 0.125 0.375 0.750
Cu 0.250 0.375 0.125
Cu 0.250 0.875 0.625
Cu 0.375 0.125 0.250
Cu 0.375 0.750 0.125
Cu 0.625 0.250 0.875
Cu 0.625 0.875 0.750
Cu 0.750 0.125 0.375
Cu 0.750 0.625 0.875
Cu 0.875 0.625 0.250
Cu 0.875 0.750 0.625
Bi 0.000 0.000 0.000
Bi 0.000 0.000 0.500
Bi 0.000 0.500 0.000
Bi 0.000 0.500 0.500
Bi 0.125 0.750 0.875
Bi 0.125 0.875 0.250
Bi 0.250 0.125 0.875
Bi 0.250 0.625 0.375
Bi 0.375 0.250 0.625
Bi 0.375 0.625 0.750
Bi 0.500 0.000 0.000
Bi 0.500 0.000 0.500
Bi 0.500 0.500 0.000
Bi 0.500 0.500 0.500
Bi 0.625 0.375 0.250
Bi 0.625 0.750 0.375
Bi 0.750 0.375 0.625
Bi 0.750 0.875 0.125
Bi 0.875 0.125 0.750
Bi 0.875 0.250 0.125
CELL_PARAMETERS angstrom
-8.290 8.290 8.290
8.290 -8.290 8.290
8.290 8.290 -8.290

No. 2
! KYZr, relaxed, DFT PBE-GGA; values from VASP
! size of the total moment	0.0	μB/cell
! electronic total energy	-4.940	eV/atom
! space group	I4mm
! energy above the lowest structure with this stoichiometry	265	meV/atom
! ΔH_f (0 K)	0.430	eV per atom
&SYSTEM
  ibrav = 0, nat = 6, ntyp = 3
/
ATOMIC_SPECIES
K 39.10 K.upf
Y 88.91 Y.upf
Zr 91.22 Zr.upf
ATOMIC_POSITIONS crystal
K 0.000 0.000 0.000
K 0.500 0.500 0.500
Y 0.000 0.000 0.700
Y 0.500 0.500 0.200
Zr 0.000 0.000 0.320
Zr 0.500 0.500 0.820
CELL_PARAMETERS angstrom
3.408 0.000 0.000
0.000 3.408 0.000
0.000 0.000 17.974

No. 3
! Si2PAuC, relaxed, DFT PBE-GGA; values from VASP
! size of the total moment	0.0	μB/cell
! electronic total energy	-5.498	eV/atom
! energy relative to the elements, uncorrected	0.2534	eV per atom
! space group	Cm
! energy above the lowest structure with this stoichiometry	51	meV/atom
&SYSTEM
  ibrav = 0, nat = 10, ntyp = 4
/
ATOMIC_SPECIES
Si 28.09 Si.upf
P 30.97 P.upf
Au 196.97 Au.upf
C 12.01 C.upf
ATOMIC_POSITIONS crystal
Si 0.000 0.000 0.000
Si 0.080 0.000 0.500
Si 0.500 0.500 0.000
Si 0.580 0.500 0.500
P 0.213 0.500 0.179
P 0.713 0.000 0.179
Au 0.333 0.500 0.588
Au 0.833 0.000 0.588
C 0.416 0.500 0.185
C 0.916 0.000 0.185
CELL_PARAMETERS angstrom
8.702 0.000 0.000
0.000 3.438 0.000
-3.904 0.000 5.849

No. 4
! TaMo2Pb, relaxed, DFT PBE-GGA; values from VASP
! size of the total moment	0.0	μB/cell
! electronic total energy	-8.919	eV/atom
! space group	P4mm
! ΔH_f (0 K)	0.387	eV per atom
&SYSTEM
  ibrav = 0, nat = 4, ntyp = 3
/
ATOMIC_SPECIES
Ta 180.95 Ta.upf
Mo 95.94 Mo.upf
Pb 207.20 Pb.upf
ATOMIC_POSITIONS crystal
Ta 0.000 0.000 0.000
Mo 0.000 0.000 0.403
Mo 0.500 0.500 0.218
Pb 0.500 0.500 0.691
CELL_PARAMETERS angstrom
3.149 0.000 0.000
0.000 3.149 0.000
0.000 0.000 7.797

No. 5
! LuInPt4, relaxed, DFT PBE-GGA; values from VASP
! size of the total moment	0.0	μB/cell
! electronic total energy	-6.024	eV/atom
! space group	F-43m
! ΔH_f (0 K)	-0.787	eV per atom
&SYSTEM
  ibrav = 0, nat = 6, ntyp = 3
/
ATOMIC_SPECIES
Lu 174.97 Lu.upf
In 114.82 In.upf
Pt 195.08 Pt.upf
ATOMIC_POSITIONS crystal
Lu 0.000 0.000 0.000
In 0.250 0.250 0.250
Pt 0.126 0.625 0.625
Pt 0.625 0.126 0.625
Pt 0.625 0.625 0.126
Pt 0.625 0.625 0.625
CELL_PARAMETERS angstrom
0.000 3.803 3.803
3.803 0.000 3.803
3.803 3.803 0.000

No. 6
! TbErSnPb, relaxed, DFT PBE-GGA; values from VASP
! size of the total moment	0.0	μB/cell
! electronic total energy	-4.679	eV/atom
! space group	F-43m
! ΔH_f (0 K)	-0.453	eV per atom
&SYSTEM
  ibrav = 0, nat = 16, ntyp = 4
/
ATOMIC_SPECIES
Tb 158.93 Tb.upf
Er 167.26 Er.upf
Sn 118.71 Sn.upf
Pb 207.20 Pb.upf
ATOMIC_POSITIONS crystal
Tb 0.000 0.000 0.000
Tb 0.000 0.500 0.500
Tb 0.500 0.000 0.500
Tb 0.500 0.500 0.000
Er 0.000 0.000 0.500
Er 0.000 0.500 0.000
Er 0.500 0.000 0.000
Er 0.500 0.500 0.500
Sn 0.250 0.250 0.750
Sn 0.250 0.750 0.250
Sn 0.750 0.250 0.250
Sn 0.750 0.750 0.750
Pb 0.250 0.250 0.250
Pb 0.250 0.750 0.750
Pb 0.750 0.250 0.750
Pb 0.750 0.750 0.250
CELL_PARAMETERS angstrom
7.631 0.000 0.000
0.000 7.631 0.000
0.000 0.000 7.631

No. 7
! AcDyY, relaxed, DFT PBE-GGA; values from VASP
! size of the total moment	0.0	μB/cell
! electronic total energy	-5.000	eV/atom
! space group	I4mm
! energy above the lowest structure with this stoichiometry	3	meV/atom
! ΔH_f (0 K)	0.058	eV per atom
&SYSTEM
  ibrav = 0, nat = 6, ntyp = 3
/
ATOMIC_SPECIES
Ac 227.00 Ac.upf
Dy 162.50 Dy.upf
Y 88.91 Y.upf
ATOMIC_POSITIONS crystal
Ac 0.000 0.000 0.000
Ac 0.500 0.500 0.500
Dy 0.000 0.000 0.672
Dy 0.500 0.500 0.172
Y 0.000 0.000 0.326
Y 0.500 0.500 0.826
CELL_PARAMETERS angstrom
3.738 0.000 0.000
0.000 3.738 0.000
0.000 0.000 15.439

No. 8
! Cd2PdAuF, relaxed, DFT PBE-GGA; values from VASP
! size of the total moment	0.0	μB/cell
! electronic total energy	-2.380	eV/atom
! energy relative to the elements, uncorrected	0.0546	eV per atom
! space group	P4/mmm
&SYSTEM
  ibrav = 0, nat = 5, ntyp = 4
/
ATOMIC_SPECIES
Cd 112.41 Cd.upf
Pd 106.42 Pd.upf
Au 196.97 Au.upf
F 19.00 F.upf
ATOMIC_POSITIONS crystal
Cd 0.000 0.500 0.000
Cd 0.500 0.000 0.000
Pd 0.000 0.000 0.500
Au 0.500 0.500 0.000
F 0.500 0.500 0.500
CELL_PARAMETERS angstrom
5.336 0.000 0.000
0.000 5.336 0.000
0.000 0.000 4.198

No. 9
! Na2GaSn4, relaxed, DFT PBE-GGA; values from VASP
! size of the total moment	0.0	μB/cell
! electronic total energy	-3.024	eV/atom
! space group	Cmmm
! energy above the lowest structure with this stoichiometry	0	meV/atom
! ΔH_f (0 K)	0.072	eV per atom
&SYSTEM
  ibrav = 0, nat = 14, ntyp = 3
/
ATOMIC_SPECIES
Na 22.99 Na.upf
Ga 69.72 Ga.upf
Sn 118.71 Sn.upf
ATOMIC_POSITIONS crystal
Na 0.000 0.153 0.000
Na 0.000 0.847 0.000
Na 0.500 0.347 0.000
Na 0.500 0.653 0.000
Ga 0.000 0.500 0.500
Ga 0.500 0.000 0.500
Sn 0.000 0.296 0.500
Sn 0.000 0.395 0.000
Sn 0.000 0.605 0.000
Sn 0.000 0.704 0.500
Sn 0.500 0.105 0.000
Sn 0.500 0.204 0.500
Sn 0.500 0.796 0.500
Sn 0.500 0.895 0.000
CELL_PARAMETERS angstrom
6.054 0.000 0.000
0.000 13.918 0.000
0.000 0.000 5.583

No. 10
! Pm3PaO7, relaxed, DFT PBE-GGA; values from VASP
! size of the total moment	0.0	μB/cell
! electronic total energy	-8.840	eV/atom
! energy relative to the elements, uncorrected	-3.5256	eV per atom
! space group	C222_1
&SYSTEM
  ibrav = 0, nat = 22, ntyp = 3
/
ATOMIC_SPECIES
Pm 145.00 Pm.upf
Pa 231.04 Pa.upf
O 16.00 O.upf
ATOMIC_POSITIONS crystal
Pm 0.001 0.001 0.000
Pm 0.031 0.504 0.250
Pm 0.496 0.969 0.250
Pm 0.504 0.031 0.750
Pm 0.969 0.496 0.750
Pm 0.999 0.999 0.500
Pa 0.500 0.500 0.000
Pa 0.500 0.500 0.500
O 0.133 0.867 0.250
O 0.133 0.867 0.750
O 0.167 0.415 0.971
O 0.168 0.416 0.530
O 0.408 0.592 0.250
O 0.415 0.167 0.029
O 0.416 0.168 0.470
O 0.584 0.832 0.970
O 0.585 0.833 0.529
O 0.592 0.408 0.750
O 0.832 0.584 0.030
O 0.833 0.585 0.471
O 0.867 0.133 0.250
O 0.867 0.133 0.750
CELL_PARAMETERS angstrom
3.904 -5.556 0.000
3.904 5.556 0.000
0.000 0.000 7.911

No. 11
! La3Ga4Co2, relaxed, DFT PBE-GGA; values from VASP
! size of the total moment	0.0	μB/cell
! electronic total energy	-5.056	eV/atom
! space group	C2/m
! energy above the lowest structure with this stoichiometry	0	meV/atom
! ΔH_f (0 K)	-0.490	eV per atom
&SYSTEM
  ibrav = 0, nat = 9, ntyp = 3
/
ATOMIC_SPECIES
La 138.91 La.upf
Ga 69.72 Ga.upf
Co 58.93 Co.upf
ATOMIC_POSITIONS crystal
La 0.000 0.000 0.000
La 0.389 0.389 0.303
La 0.611 0.611 0.697
Ga 0.111 0.111 0.410
Ga 0.286 0.286 0.906
Ga 0.714 0.714 0.094
Ga 0.889 0.889 0.590
Co 0.307 0.307 0.615
Co 0.693 0.693 0.385
CELL_PARAMETERS angstrom
5.286 -2.261 0.000
5.286 2.261 0.000
-1.342 0.000 8.055

No. 12
! Sm8BiTe4Se3, relaxed, DFT PBE-GGA; values from VASP
! size of the total moment	0.0	μB/cell
! electronic total energy	-5.532	eV/atom
! energy relative to the elements, uncorrected	-1.4912	eV per atom
! space group	R-3m
&SYSTEM
  ibrav = 0, nat = 16, ntyp = 4
/
ATOMIC_SPECIES
Sm 150.36 Sm.upf
Bi 208.98 Bi.upf
Te 127.60 Te.upf
Se 78.96 Se.upf
ATOMIC_POSITIONS crystal
Sm 0.225 0.751 0.751
Sm 0.239 0.239 0.239
Sm 0.249 0.249 0.775
Sm 0.249 0.775 0.249
Sm 0.751 0.225 0.751
Sm 0.751 0.751 0.225
Sm 0.761 0.761 0.761
Sm 0.775 0.249 0.249
Bi 0.500 0.500 0.500
Te 0.000 0.000 0.000
Te 0.000 0.500 0.500
Te 0.500 0.000 0.500
Te 0.500 0.500 0.000
Se 0.000 0.000 0.500
Se 0.000 0.500 0.000
Se 0.500 0.000 0.000
CELL_PARAMETERS angstrom
4.347 2.510 7.191
-4.347 2.510 7.191
0.000 -5.020 7.191